Entry from Alexandria via LeMat-Bulk: CeDyNp2P4 after structural relaxation (PBE-GGA).

Summary:
DOS(E_F): 2.60 states/eV/atom
energy: -67.7 eV/cell
SG: P2/m, No. 10
M_tot: 8.0 μB/f.u.

extended XYZ file:
```
8
Lattice="4.003 0.000 0.000 0.000 6.938 0.121 0.000 -2.423 6.493" Properties=species:S:1:pos:R:3 pbc="T T T"
P 2.002 3.367 4.902
P 0.000 -0.065 4.848
P 0.000 4.580 1.766
Dy 2.002 3.469 0.060
P 2.002 1.147 1.712
Np 0.000 2.257 3.307
Np 2.002 -1.212 3.247
Ce 0.000 0.000 0.000
```